No. 1
RbBeCrPd2: optimized geometry, PBE-GGA.

abc: 4.828 4.828 6.093
angles: 90.00 90.00 90.00
Space group P4/mmm (No. 123)
Inequivalent atoms, fractional coordinates:
Rb1 0.000 0.000 0.000 [1 per cell]
Be1 0.500 0.500 0.000 [1 per cell]
Cr1 0.000 0.000 0.500 [1 per cell]
Pd1 0.000 0.500 0.500 [2 per cell]

Computed properties:
* E_form: 6.7 eV/f.u.


No. 2
PrScPSe: optimized geometry, PBE-GGA.

abc: 3.9429 3.9429 20.7625
angles: 90.00 90.00 120.00
Space group R3m (No. 160, hexagonal axes)
Inequivalent atoms, fractional coordinates:
Pr1 0.0000 0.0000 0.0000 [3 per cell]
Sc1 0.0000 0.0000 0.8163 [3 per cell]
P1 0.0000 0.0000 0.4189 [3 per cell]
Se1 0.0000 0.0000 0.2323 [3 per cell]


No. 3
BeC: optimized geometry, PBE-GGA.

abc: 3.948 3.948 3.948
angles: 90.00 90.00 90.00
Space group P2_13 (No. 198)
Inequivalent atoms, fractional coordinates:
Be1 0.179 0.321 0.679 [4 per cell]
C1 0.064 0.936 0.436 [4 per cell]

Computed properties:
* E_form: 2.8 eV/f.u.


No. 4
UPaRe2: optimized geometry, PBE-GGA.

abc: 6.846 6.846 6.846
angles: 90.00 90.00 90.00
Space group Fm-3m (No. 225)
Inequivalent atoms, fractional coordinates:
U1 0.000 0.000 0.000 [4 per cell]
Pa1 0.000 0.000 0.500 [4 per cell]
Re1 0.250 0.250 0.250 [8 per cell]

Computed properties:
* E_form: 0.6 eV/f.u.


No. 5
RbCd3Pd: optimized geometry, PBE-GGA.

abc: 6.534 6.534 6.534
angles: 90.00 90.00 90.00
Space group Pm-3m (No. 221)
Inequivalent atoms, fractional coordinates:
Rb1 0.000 0.000 0.000 [1 per cell]
Cd1 0.000 0.000 0.500 [3 per cell]
Pd1 0.500 0.500 0.500 [1 per cell]

Computed properties:
* E_form: 5.2 eV/f.u.


No. 6
Sc3TiCo: optimized geometry, PBE-GGA.

abc: 4.845 4.845 4.845
angles: 90.00 90.00 90.00
Space group Pm-3m (No. 221)
Inequivalent atoms, fractional coordinates:
Sc1 0.000 0.000 0.500 [3 per cell]
Ti1 0.000 0.000 0.000 [1 per cell]
Co1 0.500 0.500 0.500 [1 per cell]

Computed properties:
* E_form: 5.0 eV/f.u.


No. 7
Pm3SnSe6: optimized geometry, PBE-GGA.

abc: 11.444 14.312 7.152
angles: 90.00 90.00 90.00
Space group Cmc2_1 (No. 36)
Inequivalent atoms, fractional coordinates:
Pm1 0.000 0.095 0.000 [4 per cell]
Pm2 0.186 0.403 0.093 [8 per cell]
Sn1 0.000 0.300 0.625 [4 per cell]
Se1 0.000 0.278 0.236 [4 per cell]
Se2 0.000 0.472 0.801 [4 per cell]
Se3 0.162 0.033 0.295 [8 per cell]
Se4 0.176 0.229 0.829 [8 per cell]


No. 8
TlSn2Bi: optimized geometry, PBE-GGA.

abc: 4.878 12.858 8.174
angles: 90.00 90.00 90.00
Space group Cmcm (No. 63)
Inequivalent atoms, fractional coordinates:
Tl1 0.000 0.056 0.250 [4 per cell]
Sn1 0.000 0.386 0.053 [8 per cell]
Bi1 0.000 0.226 0.750 [4 per cell]

Computed properties:
* E_form: 0.2 eV/f.u.


No. 9
Rb4UPa3N8: optimized geometry, PBE-GGA.

abc: 7.2217 7.2217 20.2339
angles: 90.00 90.00 120.00
Space group R-3m (No. 166, hexagonal axes)
Inequivalent atoms, fractional coordinates:
Rb1 0.0000 0.0000 0.0000 [3 per cell]
Rb2 0.0000 0.5000 0.0000 [9 per cell]
U1 0.0000 0.0000 0.5000 [3 per cell]
Pa1 0.0000 0.5000 0.5000 [9 per cell]
N1 0.0000 0.0000 0.2166 [6 per cell]
N2 0.0046 0.5023 0.2168 [18 per cell]


No. 10
Ca3Cd8In: optimized geometry, PBE-GGA.

abc: 6.0313 6.0313 29.1505
angles: 90.00 90.00 120.00
Space group R3m (No. 160, hexagonal axes)
Inequivalent atoms, fractional coordinates:
Ca1 0.0000 0.0000 0.0000 [3 per cell]
Ca2 0.0000 0.0000 0.1270 [3 per cell]
Ca3 0.0000 0.0000 0.6195 [3 per cell]
Cd1 0.0000 0.0000 0.3116 [3 per cell]
Cd2 0.0000 0.0000 0.8117 [3 per cell]
Cd3 0.0002 0.5001 0.5621 [9 per cell]
Cd4 0.1675 0.3350 0.3947 [9 per cell]
In1 0.0000 0.0000 0.4971 [3 per cell]

Computed properties:
* E_form: -2.9 eV/f.u.


No. 11
PrHoErTm: optimized geometry, PBE-GGA.

abc: 8.021 8.021 8.021
angles: 90.00 90.00 90.00
Space group F-43m (No. 216)
Inequivalent atoms, fractional coordinates:
Pr1 0.000 0.000 0.000 [4 per cell]
Ho1 0.000 0.000 0.500 [4 per cell]
Er1 0.250 0.250 0.750 [4 per cell]
Tm1 0.250 0.250 0.250 [4 per cell]

Computed properties:
* E_form: 0.5 eV/f.u.


No. 12
SrNpSi2: optimized geometry, PBE-GGA.

abc: 4.5777 4.5777 17.7508
angles: 90.00 90.00 120.00
Space group R-3m (No. 166, hexagonal axes)
Inequivalent atoms, fractional coordinates:
Sr1 0.0000 0.0000 0.0000 [3 per cell]
Np1 0.0000 0.0000 0.5000 [3 per cell]
Si1 0.0000 0.0000 0.2221 [6 per cell]


| no. | energy (eV for the cell shown) | total magnetic moment (μB per formula unit) |
| --- | --- | --- |
| 1 | -18.02 | 4.1 |
| 2 | -79.57 | 0.0 |
| 3 | -40.46 | 0.0 |
| 4 | -180.25 | 1.5 |
| 5 | -3.74 | 0.0 |
| 6 | -29.04 | 1.3 |
| 7 | -215.31 | 0.0 |
| 8 | -56.02 | 0.0 |
| 9 | -383.52 | 0.9 |
| 10 | -57.01 | 0.0 |
| 11 | -71.70 | 0.0 |
| 12 | -75.30 | 3.7 |